No. 1
An optimized crystal structure of ThMgPb6. Source: Alexandria, functional PBE-GGA.

a b c (Å): 9.8045 9.8118 4.8556
angles (deg): 90.00 90.00 90.00
Last column: nearest neighbours and their distance in Å.
Space group Cmmm (No. 65)
Symmetry-distinct sites (fractional):
Th 0.0000 0.0000 0.0000  12 Pb 3.47-3.52
Mg 0.0000 0.5000 0.0000  12 Pb 3.38-3.47
Pb 0.0000 0.2591 0.5000  8 Pb 3.34-3.60, 2 Mg 3.39, 2 Th 3.52
Pb 0.2406 0.5000 0.5000  8 Pb 3.34-3.60, 2 Mg 3.38, 2 Th 3.52
Pb 0.2500 0.2500 0.0000  8 Pb 3.45, 2 Mg 3.47, 2 Th 3.47

Properties
- Energy of formation: -0.09 eV/atom
- Final energy: -4.000 eV per atom
- Crystal system: orthorhombic

***

No. 2
An optimized crystal structure of ThMgPb2. Source: Alexandria, functional PBE-GGA.

a b c (Å): 3.9193 3.9193 7.2902
angles (deg): 90.00 90.00 90.00
Last column: nearest neighbours and their distance in Å.
Space group P4/mmm (No. 123)
Symmetry-distinct sites (fractional):
Th 0.0000 0.0000 0.0000  8 Pb 3.43, 2 Mg 3.65
Mg 0.0000 0.0000 0.5000  8 Pb 3.21
Pb 0.5000 0.5000 0.2778  4 Mg 3.21, 1 Pb 3.24, 4 Th 3.43

Properties
- Energy of formation: -0.11 eV/atom
- Final energy: -4.219 eV per atom
- Crystal system: tetragonal

***

No. 3
An optimized crystal structure of Th2MgPb4. Source: Alexandria, functional PBE-GGA.

a b c (Å): 11.8156 4.4375 8.0852
angles (deg): 90.00 96.82 90.00
Last column: nearest neighbours and their distance in Å.
Space group C2/m (No. 12)
Symmetry-distinct sites (fractional):
Th 0.1287 0.0000 0.1778  8 Pb 3.36-3.51
Mg 0.0000 0.5000 0.5000  6 Pb 3.00-3.23
Pb 0.0894 0.5000 0.8634  1 Mg 3.00, 3 Pb 3.23-3.33
Pb 0.1930 0.0000 0.6127  2 Mg 3.23, 4 Pb 3.26-3.33, 3 Th 3.37-3.51

Properties
- Energy of formation: -0.13 eV/atom
- Final energy: -4.600 eV per atom
- Crystal system: monoclinic

***

No. 4
An optimized crystal structure of Th2MgPb9. Source: Alexandria, functional PBE-GGA.

a b c (Å): 4.8454 4.8454 15.1519
angles (deg): 90.00 90.00 90.00
Last column: nearest neighbours and their distance in Å.
Space group P4/mmm (No. 123)
Symmetry-distinct sites (fractional):
Th 0.0000 0.0000 0.1556  12 Pb 3.38-3.67
Mg 0.0000 0.0000 0.5000  12 Pb 3.43-3.45
Pb 0.0000 0.5000 0.0000  4 Th 3.38, 8 Pb 3.43-3.54
Pb 0.0000 0.5000 0.3376  8 Pb 3.43-3.51, 2 Mg 3.45, 2 Th 3.67
Pb 0.5000 0.5000 0.1703  4 Th 3.43, 8 Pb 3.51-3.54
Pb 0.5000 0.5000 0.5000  4 Mg 3.43, 8 Pb 3.45

Properties
- Energy of formation: -0.14 eV/atom
- Final energy: -4.289 eV per atom
- Crystal system: tetragonal

***

No. 5
An optimized crystal structure of Th2MgPb2. Source: Alexandria, functional PBE-GGA.

a b c (Å): 5.1103 17.3967 6.8304
angles (deg): 90.00 90.00 90.00
Last column: nearest neighbours and their distance in Å.
Space group Cmc2_1 (No. 36)
Symmetry-distinct sites (fractional):
Th 0.0000 0.0059 0.0000  5 Pb 3.30-3.43, 2 Th 3.42, 4 Mg 3.48-3.69
Th 0.0000 0.1913 0.2888  6 Pb 3.27-3.46, 1 Mg 3.60
Mg 0.0000 0.3951 0.2019  4 Pb 2.95-3.14
Pb 0.0000 0.1836 0.7825  2 Mg 2.95
Pb 0.0000 0.4254 0.7511  2 Mg 3.12-3.14, 6 Th 3.27-3.37

Properties
- Energy of formation: -0.18 eV/atom
- Final energy: -4.945 eV per atom
- Crystal system: orthorhombic

***

No. 6
An optimized crystal structure of Th2Mg3Pb3. Source: Alexandria, functional PBE-GGA.

a b c (Å): 4.8491 4.9229 9.2365
angles (deg): 90.00 90.00 90.00
Last column: nearest neighbours and their distance in Å.
Space group Pmmm (No. 47)
Symmetry-distinct sites (fractional):
Th 0.0000 0.0000 0.2460  6 Pb 3.32-3.37, 6 Mg 3.40-3.46
Mg 0.0000 0.5000 0.5000  4 Mg 3.28, 4 Th 3.40, 4 Pb 3.46
Mg 0.5000 0.5000 0.2607  2 Mg 3.28, 6 Pb 3.31-3.44, 4 Th 3.46
Pb 0.0000 0.5000 0.0000  4 Th 3.35, 4 Mg 3.42, 4 Pb 3.46
Pb 0.5000 0.0000 0.0000  4 Th 3.32, 4 Mg 3.44, 4 Pb 3.46
Pb 0.5000 0.0000 0.5000  8 Mg 3.31-3.46, 4 Th 3.37

Properties
- Energy of formation: -0.20 eV/atom
- Final energy: -4.043 eV per atom
- Crystal system: orthorhombic

***

The lowest final energy belongs to which entry? Th2MgPb2